(1)
PrCdTe3Pb | PBE | relaxed

Summary:
The calculation puts the raw total energy at -3.83 eV per atom. As for the space-group type: Cmcm, No. 63.

a b c (Å): 7.796 7.796 11.558
angles (deg): 90.00 90.00 146.33
Element x y z (fractional)
Pr: 0.000 0.000 0.000
Pr: 0.000 0.000 0.500
Cd: 0.477 0.523 0.750
Cd: 0.523 0.477 0.250
Te: 0.102 0.898 0.750
Te: 0.352 0.648 0.554
Te: 0.352 0.648 0.946
Te: 0.648 0.352 0.054
Te: 0.648 0.352 0.446
Te: 0.898 0.102 0.250
Pb: 0.211 0.789 0.250
Pb: 0.789 0.211 0.750

***

(2)
PmC2 | PBE | relaxed

Summary:
For the energy above the lowest structure with this stoichiometry, the calculation gives 1175 meV per atom. As for the space-group type: Fd-3m, No. 227.

a b c (Å): 7.997 7.997 7.997
angles (deg): 60.00 60.00 60.00
Element x y z (fractional)
Pm: 0.125 0.125 0.125
Pm: 0.875 0.875 0.875
C: 0.000 0.000 0.000
C: 0.000 0.000 0.500
C: 0.000 0.500 0.000
C: 0.500 0.000 0.000

***

(3)
ThPa | PBE | relaxed

Summary:
For the energy above the lowest structure with this stoichiometry, the calculation gives 800 meV per atom. Its energy of formation from the pure elements is 949.1 meV/atom. As for the space-group type: Fm-3m, No. 225.

a b c (Å): 4.350 4.350 4.350
angles (deg): 60.00 60.00 60.00
Element x y z (fractional)
Th: 0.000 0.000 0.000
Pa: 0.500 0.500 0.500

***

(4)
Li4FeCuSn2 | PBE | relaxed

Summary:
The calculation puts the raw total energy at -3.67 eV per atom. As for the space-group type: P-4m2, No. 115.

a b c (Å): 4.379 4.379 6.319
angles (deg): 90.00 90.00 90.00
Element x y z (fractional)
Li: 0.000 0.000 0.000
Li: 0.000 0.500 0.245
Li: 0.500 0.000 0.755
Li: 0.500 0.500 0.500
Fe: 0.000 0.000 0.500
Cu: 0.500 0.500 0.000
Sn: 0.000 0.500 0.746
Sn: 0.500 0.000 0.254

***

(5)
Dy2Y2Er2TmNi2Te2 | PBE | relaxed

Summary:
For the energy above the lowest structure with this stoichiometry, the calculation gives 6 meV per atom. As for the space-group type: Imm2, No. 44.

a b c (Å): 9.335 9.335 9.335
angles (deg): 156.32 66.99 118.37
Element x y z (fractional)
Dy: 0.185 0.000 0.185
Dy: 0.815 0.000 0.815
Y: 0.168 0.799 0.369
Y: 0.430 0.799 0.631
Er: 0.506 0.652 0.854
Er: 0.799 0.652 0.146
Tm: 0.880 0.380 0.500
Ni: 0.044 0.308 0.736
Ni: 0.572 0.308 0.264
Te: 0.144 0.144 0.000
Te: 0.547 0.047 0.500

***

(6)
MgGaFeW | PBE | relaxed

Summary:
For the energy above the lowest structure with this stoichiometry, the calculation gives 0 meV per atom. As for the space-group type: F-43m, No. 216.

a b c (Å): 4.308 4.308 4.308
angles (deg): 60.00 60.00 60.00
Element x y z (fractional)
Mg: 0.000 0.000 0.000
Ga: 0.250 0.250 0.250
Fe: 0.500 0.500 0.500
W: 0.750 0.750 0.750

***

(7)
HoErNb2Si2 | PBE | relaxed

Summary:
The calculation puts the raw total energy at -7.33 eV per atom. As for the space-group type: P4mm, No. 99.

a b c (Å): 3.995 3.995 7.710
angles (deg): 90.00 90.00 90.00
Element x y z (fractional)
Ho: 0.000 0.000 0.000
Er: 0.500 0.500 0.707
Nb: 0.000 0.500 0.354
Nb: 0.500 0.000 0.354
Si: 0.000 0.000 0.596
Si: 0.500 0.500 0.112

***

(8)
ScAsIrO | PBE | relaxed

Summary:
For the energy above the lowest structure with this stoichiometry, the calculation gives 499 meV per atom. As for the space-group type: Pmc2_1, No. 26.

a b c (Å): 4.325 4.685 6.122
angles (deg): 90.00 90.00 90.00
Element x y z (fractional)
Sc: 0.000 0.243 0.000
Sc: 0.000 0.757 0.500
As: 0.500 0.136 0.697
As: 0.500 0.864 0.197
Ir: 0.500 0.364 0.338
Ir: 0.500 0.636 0.838
O: 0.000 0.402 0.310
O: 0.000 0.598 0.810

***

How do the records compare in ρ? In the order shown, they have 7.2, 1.6, 13.2, 5.3, 8.0, 9.8, 7.7, 8.8 g/cm³.